# 1
{
  "formula": "RbPdCl3",
  "functional": "GGA-PBE",
  "state": "optimized geometry",
  "lattice": [[5.0024, 0.0000, 0.0000], [0.0000, 5.0024, 0.0000], [0.0000, 0.0000, 5.0024]],
  "species": ["Rb", "Pd", "Cl", "Cl", "Cl"],
  "frac_coords": [[0.0000, 0.0000, 0.0000], [0.5000, 0.5000, 0.5000], [0.0000, 0.5000, 0.5000], [0.5000, 0.0000, 0.5000], [0.5000, 0.5000, 0.0000]],
  "total_energy_ev_per_atom": -3.42,
  "crystal_system": "cubic",
  "raw_formation_energy_ev_per_atom": -1.077,
  "spacegroup": "Pm-3m (221)",
  "magmom_total_mub_per_fu": 0.00
}

# 2
{
  "formula": "RbPdCl3",
  "functional": "GGA-PBE",
  "state": "optimized geometry",
  "lattice": [[-2.7008, 2.7008, 11.1458], [2.7008, -2.7008, 11.1458], [2.7008, 2.7008, -11.1458]],
  "species": ["Rb", "Rb", "Pd", "Pd", "Cl", "Cl", "Cl", "Cl", "Cl", "Cl"],
  "frac_coords": [[0.0964, 0.0964, 0.0000], [0.9036, 0.9036, 0.0000], [0.5000, 0.5000, 0.0000], [0.7500, 0.2500, 0.5000], [0.0044, 0.5044, 0.5000], [0.0940, 0.3340, 0.7600], [0.4956, 0.9956, 0.5000], [0.5740, 0.3340, 0.2400], [0.6660, 0.4260, 0.7600], [0.6660, 0.9060, 0.2400]],
  "total_energy_ev_per_atom": -3.07,
  "crystal_system": "tetragonal",
  "raw_formation_energy_ev_per_atom": -0.730,
  "spacegroup": "I-4m2 (119)",
  "magmom_total_mub_per_fu": 0.00
}